The following is a DFT calculation (GGA-PBE) of a geometry-optimized Ac2HoSn3Ir4 structure.

Output
- Crystal system: tetragonal
- Calculated density: 12.33 g cm⁻³
- Energy of formation from the pure elements: -0.66 eV per atom
- Fermi-level density of states: 0.589 states/eV per atom
- Total magnetization: 0.00 μB per atom
- E_tot: -0.491 Ry per atom

Geometry as CIF:
```
data_Ac2HoSn3Ir4
_space_group_name_H-M_alt 'P -4 m 2'
_space_group_IT_number 115
_space_group_name_Hall 'P -4 -2'
_cell_length_a 4.487
_cell_length_b 4.487
_cell_length_c 11.663
_cell_angle_alpha 90.00
_cell_angle_beta 90.00
_cell_angle_gamma 90.00
loop_
_atom_site_label
_atom_site_fract_x
_atom_site_fract_y
_atom_site_fract_z
Ac1 0.000 0.500 0.239
Ho1 0.000 0.000 0.500
Sn1 0.000 0.500 0.876
Sn2 0.500 0.500 0.500
Ir1 0.000 0.000 0.000
Ir2 0.000 0.500 0.647
Ir3 0.500 0.500 0.000
```